Record 1
Below is crystalline DyHfPt at its relaxed geometry, with properties calculated at the PBE level.

Computed properties:
final energy	-89.638	eV/cell
E above lowest polymorph	0	meV/atom
formation energy from the elements	-0.599	eV/atom
V	73.14	Å³/f.u.

Lattice parameters (Å, degrees): 6.639 6.639 6.639 90.00 90.00 90.00
Space group F-43m (No. 216)
Symmetry-distinct sites (fractional):
Dy 0.000 0.000 0.000 (multiplicity 4)
Hf 0.000 0.000 0.500 (multiplicity 4)
Pt 0.250 0.250 0.250 (multiplicity 4)

***

Record 2
Below is crystalline CdNi at its relaxed geometry, with properties calculated at the PBE level.

Computed properties:
final energy	-152.076	eV/cell
formation energy from the elements	0.063	eV/atom
V	31.11	Å³/f.u.

Lattice parameters (Å, degrees): 5.144 16.309 8.899 90.00 90.00 90.00
Space group Imm2 (No. 44)
Symmetry-distinct sites (fractional):
Cd 0.000 0.090 0.000 (multiplicity 4)
Cd 0.000 0.125 0.666 (multiplicity 4)
Cd 0.000 0.160 0.333 (multiplicity 4)
Cd 0.000 0.341 0.333 (multiplicity 4)
Cd 0.000 0.375 0.667 (multiplicity 4)
Cd 0.000 0.410 0.000 (multiplicity 4)
Ni 0.000 0.000 0.489 (multiplicity 2)
Ni 0.000 0.250 0.844 (multiplicity 4)
Ni 0.000 0.500 0.489 (multiplicity 2)
Ni 0.233 0.000 0.255 (multiplicity 4)
Ni 0.233 0.250 0.078 (multiplicity 8)
Ni 0.234 0.500 0.255 (multiplicity 4)

***

Record 3
Below is crystalline LaBeBPt at its relaxed geometry, with properties calculated at the PBE level.

Computed properties:
final energy	-84.758	eV/cell
E above lowest polymorph	0	meV/atom
V	61.54	Å³/f.u.

Lattice parameters (Å, degrees): 6.267 6.267 6.267 90.00 90.00 90.00
Space group F-43m (No. 216)
Symmetry-distinct sites (fractional):
La 0.000 0.000 0.000 (multiplicity 4)
Be 0.250 0.250 0.250 (multiplicity 4)
B 0.250 0.250 0.750 (multiplicity 4)
Pt 0.000 0.000 0.500 (multiplicity 4)

***

Record 4
Below is crystalline MgCdAgP2 at its relaxed geometry, with properties calculated at the PBE level.

Computed properties:
final energy	-16.209	eV/cell
V	100.99	Å³/f.u.

Lattice parameters (Å, degrees): 4.2910 4.2910 6.3335 90.00 90.00 120.00
Space group P3m1 (No. 156)
Symmetry-distinct sites (fractional):
Mg 0.0000 0.0000 0.0000 (multiplicity 1)
Cd 0.3333 0.6667 0.3126 (multiplicity 1)
Ag 0.6667 0.3333 0.6804 (multiplicity 1)
P 0.0000 0.0000 0.4429 (multiplicity 1)
P 0.3333 0.6667 0.8943 (multiplicity 1)